Record 1
# Na3Pu3RhS8

A geometry-optimized Na3Pu3RhS8 structure (GGA-PBE, the Alexandria database).

Unit cell a=7.7571 b=7.7578 c=8.1034 alpha=118.64 beta=90.00 gamma=120.00
Each line ends with the local moment (μB).
Fractional positions:
S: 0.7781 0.0131 0.2914  -0.10
S: 0.7650 0.9869 0.7086  -0.10
S: 0.2220 0.4439 0.7087  -0.10
S: 0.7780 0.5561 0.2913  -0.10
S: 0.2350 0.0131 0.2914  -0.10
S: 0.7429 0.4857 0.7284  -0.11
S: 0.2571 0.5143 0.2716  -0.11
S: 0.2219 0.9869 0.7086  -0.10
Na: 0.5000 0.5000 0.0000  0.00
Na: 0.0000 0.5000 0.0000  0.00
Na: 0.0000 0.0000 0.0000  0.00
Rh: 0.0000 0.0000 0.5000  0.05
Pu: 0.5000 0.0000 0.5000  4.87
Pu: 0.0000 0.5000 0.5000  4.87
Pu: 0.5000 0.5000 0.5000  4.87

Calculated values
* DFT total energy: -7.11 eV per atom
* total moment: 14.00 μB/f.u.
* ΔE_f (raw): -1293 meV/atom

---

Record 2
# Na3Pu2RhS6

A geometry-optimized Na3Pu2RhS6 structure (GGA-PBE, the Alexandria database).

Unit cell a=6.6157 b=6.6157 c=7.0915 alpha=98.97 beta=98.97 gamma=119.97
Each line ends with the local moment (μB).
Fractional positions:
S: 0.3824 0.0736 0.2204  0.07
S: 0.9264 0.6176 0.7796  0.07
S: 0.6176 0.9264 0.7796  0.07
S: 0.7639 0.7639 0.2176  0.08
S: 0.0736 0.3824 0.2204  0.07
S: 0.2361 0.2361 0.7824  0.08
Pu: 0.3331 0.6669 0.0000  -4.93
Pu: 0.6669 0.3331 0.0000  -4.93
Rh: 0.0000 0.0000 0.0000  -0.27
Na: 0.5000 0.5000 0.5000  0.00
Na: 0.1665 0.8335 0.5000  0.00
Na: 0.8335 0.1665 0.5000  0.00

Calculated values
* DFT total energy: -6.62 eV per atom
* total moment: 10.01 μB/f.u.
* ΔE_f (raw): -1229 meV/atom

---

Record 3
# Na2PuRhS4

A geometry-optimized Na2PuRhS4 structure (GGA-PBE, the Alexandria database).

Unit cell a=3.8573 b=6.2042 c=7.1368 alpha=108.63 beta=90.00 gamma=90.00
Each line ends with the local moment (μB).
Fractional positions:
S: 0.0000 0.2383 0.7749  -0.08
S: 0.5000 0.7935 0.7964  -0.05
S: 0.5000 0.2065 0.2036  -0.05
S: 0.0000 0.7617 0.2251  -0.08
Rh: 0.0000 0.0000 0.0000  0.12
Na: 0.5000 0.0000 0.5000  0.00
Na: 0.0000 0.5000 0.5000  0.00
Pu: 0.5000 0.5000 0.0000  4.76

Calculated values
* DFT total energy: -6.19 eV per atom
* total moment: 4.74 μB/f.u.
* ΔE_f (raw): -1088 meV/atom

---

Record 4
# NaPu2Ru

A geometry-optimized NaPu2Ru structure (GGA-PBE, the Alexandria database).

Unit cell a=3.2734 b=3.2734 c=9.5635 alpha=90.00 beta=90.00 gamma=90.00
Each line ends with the local moment (μB).
Fractional positions:
Pu: 0.0000 0.0000 0.1823  5.39
Pu: 0.0000 0.0000 0.8177  5.39
Na: 0.5000 0.5000 0.5000  0.01
Ru: 0.5000 0.5000 0.0000  -0.63

Calculated values
* DFT total energy: -9.77 eV per atom
* total moment: 10.96 μB/f.u.
* offset from the most stable computed form: 0.000 eV per formula unit

---

Record 5
# NaPu2Ru

A geometry-optimized NaPu2Ru structure (GGA-PBE, the Alexandria database).

Unit cell a=3.3336 b=3.3336 c=11.2678 alpha=81.49 beta=81.49 gamma=60.00
Each line ends with the local moment (μB).
Fractional positions:
Pu: 0.1052 0.1052 0.6845  5.52
Pu: 0.8948 0.8948 0.3155  5.52
Ru: 0.5000 0.5000 0.5000  -0.58
Na: 0.0000 0.0000 0.0000  0.00

Calculated values
* DFT total energy: -9.56 eV per atom
* total moment: 11.46 μB/f.u.
* offset from the most stable computed form: 0.826 eV per formula unit

---

Record 6
# NaPu2S3

A geometry-optimized NaPu2S3 structure (GGA-PBE, the Alexandria database).

Unit cell a=4.0180 b=5.5908 c=6.9835 alpha=113.60 beta=106.72 gamma=90.00
Each line ends with the local moment (μB).
Fractional positions:
S: 0.5000 0.0000 0.5000  -0.12
S: 0.1796 0.6796 0.8592  -0.11
S: 0.8204 0.3204 0.1408  -0.11
Na: 0.5000 0.5000 0.5000  0.00
Pu: 0.8373 0.8373 0.1745  5.32
Pu: 0.1627 0.1627 0.8255  5.32

Calculated values
* DFT total energy: -8.70 eV per atom
* total moment: 11.00 μB/f.u.
* ΔE_f (raw): -1642 meV/atom
* offset from the most stable computed form: 0.000 eV per formula unit

---

Record 7
# Na5Pu3S12

A geometry-optimized Na5Pu3S12 structure (GGA-PBE, the Alexandria database).

Unit cell a=14.2323 b=14.2323 c=14.2323 alpha=109.47 beta=109.47 gamma=109.47
Each line ends with the local moment (μB).
Fractional positions:
S: 0.5991 0.8315 0.4126  0.01
S: 0.0811 0.4126 0.8135  0.01
S: 0.5811 0.2677 0.1685  0.01
S: 0.0991 0.9126 0.3315  0.01
S: 0.2677 0.5811 0.6685  0.01
S: 0.8135 0.9009 0.2323  0.01
S: 0.6865 0.4189 0.5874  0.01
S: 0.9189 0.5874 0.1865  0.01
S: 0.7323 0.3135 0.9009  0.01
S: 0.1685 0.7677 0.5811  0.01
S: 0.1685 0.4009 0.0874  0.01
S: 0.7677 0.1685 0.0811  0.01
S: 0.2323 0.4009 0.8135  0.01
S: 0.8315 0.5991 0.9126  0.01
S: 0.3135 0.5811 0.4126  0.01
S: 0.5991 0.7677 0.6865  0.01
S: 0.4189 0.6865 0.0874  0.01
S: 0.9126 0.8135 0.5811  0.01
S: 0.1865 0.0991 0.7677  0.01
S: 0.4126 0.3315 0.5991  0.01
S: 0.9126 0.0991 0.8315  0.01
S: 0.6865 0.2677 0.5991  0.01
S: 0.7323 0.4189 0.3315  0.01
S: 0.6685 0.5874 0.9009  0.01
S: 0.9189 0.3315 0.2323  0.01
S: 0.0811 0.6685 0.7677  0.01
S: 0.4126 0.0811 0.3135  0.01
S: 0.5811 0.3135 0.9126  0.01
S: 0.7677 0.5991 0.1865  0.01
S: 0.4009 0.1685 0.5874  0.01
S: 0.8315 0.2323 0.4189  0.01
S: 0.3315 0.9189 0.7323  0.01
S: 0.9009 0.0874 0.6685  0.01
S: 0.8135 0.9126 0.0811  0.01
S: 0.4009 0.2323 0.3135  0.01
S: 0.5874 0.6685 0.4009  0.01
S: 0.0874 0.1865 0.4189  0.01
S: 0.9009 0.8135 0.7323  0.01
S: 0.0991 0.1865 0.2677  0.01
S: 0.0874 0.9009 0.1685  0.01
S: 0.2677 0.6865 0.0991  0.01
S: 0.3135 0.7323 0.4009  0.01
S: 0.4189 0.7323 0.8315  0.01
S: 0.1865 0.0874 0.9189  0.01
S: 0.3315 0.4126 0.0991  0.01
S: 0.2323 0.8315 0.9189  0.01
S: 0.6685 0.0811 0.2677  0.01
S: 0.5874 0.9189 0.6865  0.01
Na: 0.1250 0.7500 0.3750  0.00
Na: 0.5000 0.5000 0.0000  -0.01
Na: 0.3750 0.2500 0.1250  0.00
Na: 0.0000 0.0000 0.5000  -0.01
Na: 0.5000 0.0000 0.5000  -0.01
Na: 0.7500 0.1250 0.8750  0.00
Na: 0.2500 0.3750 0.6250  0.00
Na: 0.8750 0.2500 0.6250  0.00
Na: 0.0000 0.0000 0.0000  -0.01
Na: 0.5000 0.5000 0.5000  -0.01
Na: 0.2500 0.8750 0.1250  0.00
Na: 0.0000 0.5000 0.0000  -0.01
Na: 0.3750 0.1250 0.7500  0.00
Na: 0.0000 0.5000 0.5000  -0.01
Na: 0.8750 0.6250 0.7500  0.00
Na: 0.6250 0.8750 0.2500  0.00
Na: 0.6250 0.7500 0.8750  0.00
Na: 0.7500 0.6250 0.3750  0.00
Na: 0.1250 0.3750 0.2500  0.00
Na: 0.5000 0.0000 0.0000  -0.01
Pu: 0.6250 0.2500 0.3750  -5.11
Pu: 0.3750 0.6250 0.2500  -5.11
Pu: 0.3750 0.7500 0.6250  -5.11
Pu: 0.2500 0.6250 0.8750  -5.11
Pu: 0.6250 0.3750 0.7500  -5.11
Pu: 0.1250 0.2500 0.8750  -5.11
Pu: 0.1250 0.8750 0.7500  -5.11
Pu: 0.2500 0.1250 0.3750  -5.11
Pu: 0.7500 0.3750 0.1250  -5.11
Pu: 0.8750 0.7500 0.1250  -5.11
Pu: 0.7500 0.8750 0.6250  -5.11
Pu: 0.8750 0.1250 0.2500  -5.11

Calculated values
* DFT total energy: -5.79 eV per atom
* total moment: 16.08 μB/f.u.
* ΔE_f (raw): -837 meV/atom

---

Record 8
# Na5PuS4

A geometry-optimized Na5PuS4 structure (GGA-PBE, the Alexandria database).

Unit cell a=4.2543 b=7.5390 c=8.8342 alpha=115.24 beta=103.93 gamma=90.00
Each line ends with the local moment (μB).
Fractional positions:
Pu: 0.5000 0.0000 0.0000  5.08
Na: 0.8245 0.5929 0.6491  0.00
Na: 0.1756 0.9442 0.3512  0.00
Na: 0.5000 0.5000 0.0000  0.00
Na: 0.1755 0.4071 0.3509  0.00
Na: 0.8244 0.0558 0.6488  0.00
S: 0.9999 0.2451 0.9999  -0.07
S: 0.0001 0.7549 0.0001  -0.07
S: 0.6913 0.1914 0.3827  -0.02
S: 0.3087 0.8086 0.6173  -0.02

Calculated values
* DFT total energy: -4.94 eV per atom
* total moment: 5.00 μB/f.u.
* ΔE_f (raw): -1192 meV/atom

---

Record 9
# Na3PuS4

A geometry-optimized Na3PuS4 structure (GGA-PBE, the Alexandria database).

Unit cell a=6.8984 b=7.0231 c=8.0830 alpha=90.00 beta=90.00 gamma=110.08
Each line ends with the local moment (μB).
Fractional positions:
Pu: 0.7500 0.0000 0.8711  4.04
Pu: 0.2500 0.0000 0.1289  4.04
S: 0.0268 0.7635 0.3506  -0.17
S: 0.9732 0.2365 0.6494  -0.17
S: 0.0009 0.2163 0.1056  -0.18
S: 0.9991 0.7837 0.8944  -0.18
S: 0.5009 0.2163 0.8944  -0.18
S: 0.4991 0.7837 0.1056  -0.18
S: 0.5268 0.7635 0.6494  -0.17
S: 0.4732 0.2365 0.3506  -0.17
Na: 0.7500 0.5000 0.6129  0.00
Na: 0.7500 0.0000 0.3813  0.00
Na: 0.2500 0.0000 0.6187  0.00
Na: 0.7500 0.5000 0.1283  0.00
Na: 0.2500 0.5000 0.8717  0.00
Na: 0.2500 0.5000 0.3871  0.00

Calculated values
* DFT total energy: -5.56 eV per atom
* total moment: 3.00 μB/f.u.
* ΔE_f (raw): -1209 meV/atom
* offset from the most stable computed form: 0.000 eV per formula unit

---

Record 10
# NaPu4S5

A geometry-optimized NaPu4S5 structure (GGA-PBE, the Alexandria database).

Unit cell a=3.9910 b=5.6145 c=10.6239 alpha=105.32 beta=100.83 gamma=90.00
Each line ends with the local moment (μB).
Fractional positions:
Pu: 0.5982 0.5982 0.1964  5.38
Pu: 0.7988 0.7988 0.5976  5.40
Pu: 0.2012 0.2012 0.4024  5.40
Pu: 0.4018 0.4018 0.8036  5.38
S: 0.0000 0.5000 0.0000  -0.11
S: 0.1980 0.6980 0.3961  -0.13
S: 0.6059 0.1059 0.2119  -0.10
S: 0.3941 0.8941 0.7881  -0.10
S: 0.8020 0.3020 0.6039  -0.13
Na: 0.0000 0.0000 0.0000  0.00

Calculated values
* DFT total energy: -9.61 eV per atom
* total moment: 22.63 μB/f.u.
* ΔE_f (raw): -1679 meV/atom
* offset from the most stable computed form: 0.036 eV per formula unit

---

Record 11
# NaPu4S5

A geometry-optimized NaPu4S5 structure (GGA-PBE, the Alexandria database).

Unit cell a=5.6294 b=6.9223 c=6.9223 alpha=80.48 beta=66.01 gamma=66.01
Each line ends with the local moment (μB).
Fractional positions:
S: 0.8989 0.4104 0.7938  -0.12
S: 0.6927 0.2062 0.4104  -0.12
S: 0.5011 0.0000 0.0000  -0.11
S: 0.1031 0.5896 0.2062  -0.12
S: 0.3093 0.7938 0.5896  -0.12
Pu: 0.3987 0.4002 0.8045  5.41
Pu: 0.6034 0.5998 0.1955  5.41
Pu: 0.7988 0.8045 0.5998  5.41
Pu: 0.2032 0.1955 0.4002  5.41
Na: 0.0011 0.0000 0.0000  0.00

Calculated values
* DFT total energy: -9.61 eV per atom
* total moment: 22.79 μB/f.u.
* ΔE_f (raw): -1683 meV/atom
* offset from the most stable computed form: 0.000 eV per formula unit

---

Record 12
# NaPu2S3

A geometry-optimized NaPu2S3 structure (GGA-PBE, the Alexandria database).

Unit cell a=7.0388 b=7.0437 c=7.1258 alpha=90.00 beta=90.00 gamma=119.98
Each line ends with the local moment (μB).
Fractional positions:
S: 0.8900 0.0000 0.7500  -0.10
S: 0.4999 0.6094 0.2500  -0.10
S: 0.1100 0.0000 0.2500  -0.10
S: 0.8906 0.3906 0.2500  -0.10
S: 0.1094 0.6094 0.7500  -0.10
S: 0.5001 0.3906 0.7500  -0.10
Pu: 0.8334 0.6668 0.5000  5.34
Pu: 0.1666 0.3332 0.5000  5.34
Pu: 0.1666 0.3332 0.0000  5.34
Pu: 0.8334 0.6668 0.0000  5.34
Na: 0.4991 0.0000 0.7500  0.00
Na: 0.5009 0.0000 0.2500  0.00

Calculated values
* DFT total energy: -8.57 eV per atom
* total moment: 11.00 μB/f.u.
* ΔE_f (raw): -1511 meV/atom
* offset from the most stable computed form: 0.784 eV per formula unit

---

Record 13
# Na5PuS5

A geometry-optimized Na5PuS5 structure (GGA-PBE, the Alexandria database).

Unit cell a=5.4651 b=7.1608 c=7.9065 alpha=106.91 beta=90.00 gamma=112.43
Each line ends with the local moment (μB).
Fractional positions:
Na: 0.3177 0.6354 0.1394  0.00
Na: 0.0000 0.0000 0.5000  0.00
Na: 0.6823 0.3646 0.8606  0.00
Na: 0.6934 0.3868 0.3229  0.00
Na: 0.3066 0.6132 0.6771  0.00
S: 0.1408 0.2816 0.8319  -0.13
S: 0.8592 0.7184 0.1681  -0.13
S: 0.5000 0.0000 0.0000  -0.15
S: 0.8480 0.6961 0.6899  -0.14
S: 0.1520 0.3039 0.3101  -0.14
Pu: 0.0000 0.0000 0.0000  4.02

Calculated values
* DFT total energy: -4.92 eV per atom
* total moment: 3.00 μB/f.u.
* ΔE_f (raw): -1145 meV/atom

---

Record 14
# Na2PuS4

A geometry-optimized Na2PuS4 structure (GGA-PBE, the Alexandria database).

Unit cell a=8.0220 b=8.2496 c=8.2496 alpha=57.17 beta=60.91 gamma=60.91
Each line ends with the local moment (μB).
Fractional positions:
S: 0.2062 0.2957 0.7957  -0.27
S: 0.2976 0.7043 0.2043  -0.27
S: 0.7024 0.2957 0.7957  -0.27
S: 0.2518 0.7134 0.7831  -0.23
S: 0.7938 0.7043 0.2043  -0.27
S: 0.2518 0.2831 0.2134  -0.23
S: 0.7482 0.2866 0.2169  -0.23
S: 0.7482 0.7169 0.7866  -0.23
Na: 0.8894 0.8607 0.3607  -0.01
Na: 0.5000 0.0000 0.0000  0.00
Na: 0.5000 0.5000 0.5000  0.00
Na: 0.1106 0.1393 0.6393  -0.01
Pu: 0.0000 0.5000 0.0000  3.54
Pu: 0.5000 0.5000 0.0000  3.54

Calculated values
* DFT total energy: -5.75 eV per atom
* total moment: 2.00 μB/f.u.
* ΔE_f (raw): -964 meV/atom
* offset from the most stable computed form: 0.000 eV per formula unit

---

Record 15
# Na2PuS4

A geometry-optimized Na2PuS4 structure (GGA-PBE, the Alexandria database).

Unit cell a=7.4540 b=7.4540 c=7.4540 alpha=106.30 beta=106.30 gamma=116.02
Each line ends with the local moment (μB).
Fractional positions:
S: 0.6818 0.5430 0.7595  -0.01
S: 0.9666 0.7070 0.6388  -0.01
S: 0.7834 0.9223 0.2405  -0.01
S: 0.0777 0.3182 0.8612  -0.01
S: 0.2930 0.9318 0.2595  -0.01
S: 0.4570 0.2166 0.1388  -0.01
S: 0.0682 0.3277 0.3612  -0.01
S: 0.6723 0.0334 0.7405  -0.01
Na: 0.8750 0.4848 0.1098  0.00
Na: 0.3750 0.7652 0.8902  0.00
Na: 0.2348 0.1250 0.6098  0.00
Na: 0.5152 0.6250 0.3902  0.00
Pu: 0.0000 0.0000 0.0000  4.77
Pu: 0.7500 0.2500 0.5000  4.77

Calculated values
* DFT total energy: -5.72 eV per atom
* total moment: 4.89 μB/f.u.
* ΔE_f (raw): -939 meV/atom
* offset from the most stable computed form: 0.174 eV per formula unit

---

Record 16
# NaPuS2

A geometry-optimized NaPuS2 structure (GGA-PBE, the Alexandria database).

Unit cell a=3.4392 b=3.4392 c=7.1033 alpha=90.00 beta=90.00 gamma=90.00
Each line ends with the local moment (μB).
Fractional positions:
Pu: 0.5000 0.5000 0.0000  5.10
S: 0.0000 0.0000 0.2243  -0.12
S: 0.0000 0.0000 0.7757  -0.12
Na: 0.5000 0.5000 0.5000  0.00

Calculated values
* DFT total energy: -7.31 eV per atom
* total moment: 5.00 μB/f.u.
* ΔE_f (raw): -1330 meV/atom

---

Record 17
# Na2Pu3S6

A geometry-optimized Na2Pu3S6 structure (GGA-PBE, the Alexandria database).

Unit cell a=6.9735 b=6.9716 c=7.0198 alpha=80.51 beta=70.75 gamma=59.99
Each line ends with the local moment (μB).
Fractional positions:
Pu: 0.6653 0.6693 0.0000  4.88
Pu: 0.0000 0.0000 0.0000  4.88
Pu: 0.3347 0.3307 0.0000  4.88
S: 0.9322 0.6626 0.2165  -0.13
S: 0.0678 0.3374 0.7835  -0.13
S: 0.4053 0.6626 0.7835  -0.13
S: 0.2568 0.0000 0.2180  -0.14
S: 0.5947 0.3374 0.2165  -0.13
S: 0.7432 0.0000 0.7820  -0.14
Na: 0.8327 0.3346 0.5000  0.00
Na: 0.1673 0.6654 0.5000  0.00

Calculated values
* DFT total energy: -7.94 eV per atom
* total moment: 14.00 μB/f.u.
* ΔE_f (raw): -1541 meV/atom

---

Record 18
# NaPuS2

A geometry-optimized NaPuS2 structure (GGA-PBE, the Alexandria database).

Unit cell a=4.0070 b=4.0070 c=7.2603 alpha=73.98 beta=73.98 gamma=60.00
Each line ends with the local moment (μB).
Fractional positions:
Na: 0.4958 0.4958 0.5126  0.00
S: 0.0747 0.0747 0.7759  -0.10
S: 0.2614 0.2614 0.2158  -0.11
Pu: 0.6681 0.6681 0.9956  5.07

Calculated values
* DFT total energy: -7.50 eV per atom
* total moment: 5.00 μB/f.u.
* ΔE_f (raw): -1520 meV/atom

---

Record 19
# Na3PuS4

A geometry-optimized Na3PuS4 structure (GGA-PBE, the Alexandria database).

Unit cell a=4.0070 b=6.9445 c=6.9445 alpha=108.93 beta=90.00 gamma=90.00
Each line ends with the local moment (μB).
Fractional positions:
S: 0.0000 0.7755 0.7755  -0.15
S: 0.5000 0.7756 0.2244  -0.20
S: 0.0000 0.2245 0.2245  -0.15
S: 0.5000 0.2244 0.7756  -0.20
Na: 0.5000 0.5000 0.5000  0.00
Na: 0.0000 0.0000 0.5000  0.00
Na: 0.0000 0.5000 0.0000  0.00
Pu: 0.5000 0.0000 0.0000  4.06

Calculated values
* DFT total energy: -5.54 eV per atom
* total moment: 3.00 μB/f.u.
* ΔE_f (raw): -1189 meV/atom
* offset from the most stable computed form: 0.158 eV per formula unit